Density functional theory data (GGA-PBE) for crystalline Ba2TiGa at its relaxed geometry.

```
Ba2TiGa
1.0
9.2691 0.0000 0.0000
0.0000 9.2691 0.0000
0.0000 0.0000 6.5828
Ba Ti Ga
8 4 4
Direct
0.2312 0.2500 0.1250 Ba
0.2500 0.7312 0.3750 Ba
0.2500 0.7688 0.8750 Ba
0.2688 0.2500 0.6250 Ba
0.7312 0.7500 0.6250 Ba
0.7500 0.2312 0.8750 Ba
0.7500 0.2688 0.3750 Ba
0.7688 0.7500 0.1250 Ba
0.0000 0.0000 0.5000 Ti
0.0000 0.5000 0.7500 Ti
0.5000 0.0000 0.2500 Ti
0.5000 0.5000 0.0000 Ti
0.0000 0.0000 0.0000 Ga
0.0000 0.5000 0.2500 Ga
0.5000 0.0000 0.7500 Ga
0.5000 0.5000 0.5000 Ga
```

Calculated values
formation enthalpy at 0 K	0.577	eV per atom

=====

Density functional theory data (GGA-PBE) for crystalline Ba6TlGa at its relaxed geometry.

```
Ba6TlGa
1.0
4.1500 2.3960 7.8651
-4.1500 2.3960 7.8651
0.0000 -4.7920 7.8651
Ba Tl Ga
6 1 1
Direct
0.0673 0.4165 0.7615 Ba
0.2385 0.9327 0.5835 Ba
0.4165 0.7615 0.0673 Ba
0.5835 0.2385 0.9327 Ba
0.7615 0.0673 0.4165 Ba
0.9327 0.5835 0.2385 Ba
0.5000 0.5000 0.5000 Tl
0.0000 0.0000 0.0000 Ga
```

Calculated values
formation enthalpy at 0 K	-0.093	eV per atom

=====

Density functional theory data (GGA-PBE) for crystalline BaTlGa4 at its relaxed geometry.

```
BaTlGa4
1.0
8.3949 0.0000 0.0000
0.0000 16.2606 0.0000
0.0000 0.0000 4.6935
Ba Tl Ga
4 4 16
Direct
0.1332 0.1501 0.0000 Ba
0.3668 0.6501 0.0000 Ba
0.6332 0.3499 0.0000 Ba
0.8668 0.8499 0.0000 Ba
0.1432 0.4085 0.0000 Tl
0.3568 0.9085 0.0000 Tl
0.6432 0.0915 0.0000 Tl
0.8568 0.5915 0.0000 Tl
0.0146 0.6956 0.5000 Ga
0.1135 0.5491 0.5000 Ga
0.1329 0.9663 0.5000 Ga
0.2065 0.8122 0.5000 Ga
0.2935 0.3122 0.5000 Ga
0.3671 0.4663 0.5000 Ga
0.3865 0.0491 0.5000 Ga
0.4854 0.1956 0.5000 Ga
0.5146 0.8044 0.5000 Ga
0.6135 0.9509 0.5000 Ga
0.6329 0.5337 0.5000 Ga
0.7065 0.6878 0.5000 Ga
0.7935 0.1878 0.5000 Ga
0.8671 0.0337 0.5000 Ga
0.8865 0.4509 0.5000 Ga
0.9854 0.3044 0.5000 Ga
```

Calculated values
formation enthalpy at 0 K	-0.235	eV per atom
ΔE to the lowest computed polymorph	0	meV per atom